Sr2SbSe: optimized geometry, PBE.

Results
The formation energy without anion corrections comes out at -1131 meV per atom. As for the symmetry: I-42d, No. 122.

Geometry as POSCAR:
```
Sr2SbSe
1.0
8.4563 0.0000 0.0000
0.0000 8.4563 0.0000
4.2282 4.2282 3.9619
Sb Se Sr
2 2 4
Direct
0.0000 0.0000 0.0000
0.7500 0.2500 0.5000
0.2500 0.7500 0.5000
0.5000 0.5000 0.0000
0.3750 0.4009 0.7500
0.8750 0.8491 0.7500
0.5991 0.1250 0.2500
0.1509 0.6250 0.2500
```

=====

SrSbSe2: optimized geometry, PBE.

Results
The formation energy without anion corrections comes out at -1017 meV per atom. As for the symmetry: P4mm, No. 99.

Geometry as POSCAR:
```
SrSbSe2
1.0
-2.8673 -3.1509 -0.9213
2.6554 -1.5067 -3.1108
2.7467 -3.7105 4.1418
Se Sb Sr
2 1 1
Direct
0.5000 0.5000 0.3502
0.0000 0.0000 0.8796
0.5000 0.5000 0.8911
0.0000 0.0000 0.3791
```

=====

SrSb2Se: optimized geometry, PBE.

Results
The formation energy without anion corrections comes out at -539 meV per atom. As for the symmetry: Imm2, No. 44.

Geometry as POSCAR:
```
SrSb2Se
1.0
-3.8061 -4.4699 0.9846
3.2491 -4.4053 2.3393
-1.4043 5.6428 1.2739
Sb Sr Se
2 1 1
Direct
0.9697 0.9697 0.0000
0.7547 0.2547 0.5000
0.2523 0.7523 0.5000
0.5233 0.5233 0.0000
```

=====

SrSb2Se2: optimized geometry, PBE.

Results
The formation energy without anion corrections comes out at -387 meV per atom. As for the symmetry: I4/mmm, No. 139.

Geometry as POSCAR:
```
SrSb2Se2
1.0
-5.2804 -0.1832 -2.3174
-0.0014 -5.7513 0.4581
-4.5215 -2.6277 3.3284
Se Sb Sr
2 2 1
Direct
0.2500 0.7500 0.5000
0.7500 0.2500 0.5000
0.3479 0.3479 0.3042
0.6521 0.6521 0.6958
0.0000 0.0000 0.0000
```

=====

SrSb2Se4: optimized geometry, PBE.

Results
The formation energy without anion corrections comes out at -718 meV per atom. As for the symmetry: Fdd2, No. 43.

Geometry as POSCAR:
```
SrSb2Se4
1.0
-1.6751 -7.3331 2.8457
7.7294 1.7351 1.3776
-4.7153 5.5248 3.9086
Se Sr Sb
8 2 4
Direct
0.5050 0.7296 0.8611
0.2823 0.1400 0.7737
0.7583 0.1159 0.7259
0.8688 0.6439 0.1393
0.8941 0.6188 0.6390
0.3898 0.0319 0.2734
0.3658 0.5082 0.2261
0.9794 0.2545 0.3609
0.2458 0.7457 0.5002
0.9956 0.9958 0.9999
0.0978 0.3780 0.7429
0.6050 0.3848 0.7574
0.6345 0.3550 0.2569
0.6278 0.8481 0.2432
```

=====

SrSbSe2: optimized geometry, PBE.

Results
The formation energy without anion corrections comes out at -932 meV per atom. As for the symmetry: C2/m, No. 12.

Geometry as POSCAR:
```
SrSbSe2
1.0
4.8498 0.0002 0.0095
3.0282 3.7882 0.0095
2.8113 1.3519 6.5229
Se Sr Sb
2 1 1
Direct
0.5284 0.5284 0.4925
0.9716 0.9716 0.0075
0.7500 0.7500 0.7500
0.2500 0.2500 0.2500
```

=====

SrSbSe2: optimized geometry, PBE.

Results
The formation energy without anion corrections comes out at -676 meV per atom. As for the symmetry: R-3m, No. 166.

Geometry as POSCAR:
```
SrSbSe2
1.0
-7.8321 -3.5744 3.0367
-5.3195 -7.0966 2.1634
-4.8308 -4.9279 5.9765
Se Sb Sr
2 1 1
Direct
0.8991 0.8991 0.8991
0.1009 0.1009 0.1009
0.0000 0.0000 0.0000
0.5000 0.5000 0.5000
```

=====

SrSb2Se: optimized geometry, PBE.

Results
The formation energy without anion corrections comes out at -370 meV per atom. As for the symmetry: I-42d, No. 122.

Geometry as POSCAR:
```
SrSb2Se
1.0
9.0876 0.0000 0.0000
0.0000 9.0876 0.0000
4.5438 4.5438 3.0599
Sb Se Sr
4 2 2
Direct
0.3750 0.4169 0.7500
0.8750 0.8331 0.7500
0.1669 0.6250 0.2500
0.5831 0.1250 0.2500
0.5000 0.5000 0.0000
0.2500 0.7500 0.5000
0.0000 0.0000 0.0000
0.7500 0.2500 0.5000
```

=====

SrSb3Se: optimized geometry, PBE.

Results
The formation energy without anion corrections comes out at -24 meV per atom. As for the symmetry: Pm-3m, No. 221.

Geometry as POSCAR:
```
SrSb3Se
1.0
-4.6071 -2.9545 0.5076
2.0250 -3.7535 -3.4675
2.2105 -2.7193 4.2345
Sr Se Sb
1 1 3
Direct
0.5000 0.5000 0.5000
0.0000 0.0000 0.0000
0.0000 0.5000 0.0000
0.0000 0.0000 0.5000
0.5000 0.0000 0.0000
```

=====

SrSb3Se: optimized geometry, PBE.

Results
The formation energy without anion corrections comes out at 1026 meV per atom. As for the symmetry: Pm-3m, No. 221.

Geometry as POSCAR:
```
SrSb3Se
1.0
-1.1332 4.2834 -4.0828
-5.2328 -2.6664 -1.3451
-2.7631 3.2930 4.2216
Sr Sb Se
1 3 1
Direct
0.0000 0.0000 0.0000
0.0000 0.5000 0.0000
0.0000 0.0000 0.5000
0.5000 0.0000 0.0000
0.5000 0.5000 0.5000
```

=====

SrSb2Se2: optimized geometry, PBE.

Results
The formation energy without anion corrections comes out at -557 meV per atom. As for the symmetry: P4/mbm, No. 127.

Geometry as POSCAR:
```
SrSb2Se2
1.0
-3.5492 -6.4398 -4.1751
1.3685 -5.0572 6.6371
-3.7391 1.0448 1.5671
Se Sr Sb
4 2 4
Direct
0.3444 0.8444 0.0000
0.6556 0.1556 0.0000
0.8444 0.6556 0.0000
0.1556 0.3444 0.0000
0.5000 0.5000 0.0000
0.0000 0.0000 0.0000
0.8006 0.3006 0.5000
0.3006 0.1994 0.5000
0.6994 0.8006 0.5000
0.1994 0.6994 0.5000
```

=====

SrSb2Se: optimized geometry, PBE.

Results
The formation energy without anion corrections comes out at -779 meV per atom. As for the symmetry: R3m, No. 160.

Geometry as POSCAR:
```
SrSb2Se
1.0
-1.9389 3.8822 -0.9158
-3.5553 0.1339 -2.6478
-6.3298 0.5084 4.8072
Sr Se Sb
1 1 2
Direct
0.7608 0.7608 0.7178
0.4987 0.4987 0.5041
0.9884 0.9884 0.0348
0.2521 0.2521 0.2432
```